# BaTa2PN PBE relaxed
# formation energy from raw total energies: 381.69 kJ per mole of atoms
data_BaTa2PN
_space_group_name_H-M_alt 'P 4/m m m'
_space_group_IT_number 123
_space_group_name_Hall '-P 4 2'
_cell_length_a 5.216
_cell_length_b 5.216
_cell_length_c 5.107
_cell_angle_alpha 90.00
_cell_angle_beta 90.00
_cell_angle_gamma 90.00
loop_
_atom_site_label
_atom_site_type_symbol
_atom_site_fract_x
_atom_site_fract_y
_atom_site_fract_z
Ba1 Ba 0.000 0.000 0.000
Ta1 Ta 0.000 0.500 0.000
P1 P 0.000 0.000 0.500
N1 N 0.500 0.500 0.500